First-principles (PBE) data for a relaxed structure of CdTe2Pd2F2, as listed in OQMD.

Computed properties:
Uncorrected energy   -3.563 eV/atom
Crystal system   tetragonal
ρ   7.83 g/cm³

POSCAR file:
```
CdTe2Pd2F2
1.0
3.6851 0.0000 0.0000
0.0000 3.6851 0.0000
0.0000 0.0000 9.6572
Cd Te Pd F
1 2 2 2
Direct
0.0000 0.0000 0.0000
0.0000 0.5000 0.7615
0.5000 0.0000 0.2385
0.0000 0.5000 0.3385
0.5000 0.0000 0.6615
0.0000 0.0000 0.5000
0.5000 0.5000 0.5000
```



First-principles (PBE) data for a relaxed structure of SmErInNi2, as listed in OQMD.

Computed properties:
Uncorrected energy   -5.148 eV/atom
Crystal system   orthorhombic
ρ   8.79 g/cm³

POSCAR file:
```
SmErInNi2
1.0
3.6992 0.0000 0.0000
0.0000 1.9663 7.1397
0.0000 -1.9663 7.1397
Sm Er In Ni
1 1 1 2
Direct
0.0000 0.0000 0.0000
0.0000 0.2753 0.2753
0.5000 0.6407 0.6407
0.5000 0.4347 0.4347
0.5000 0.8331 0.8331
```



First-principles (PBE) data for a relaxed structure of Ho2Br, as listed in OQMD.

Computed properties:
Energy above the lowest structure with this stoichiometry   0 meV/atom
Crystal system   cubic
ρ   8.06 g/cm³

POSCAR file:
```
Ho2Br
1.0
0.0000 3.4824 3.4824
3.4824 0.0000 3.4824
3.4824 3.4824 0.0000
Ho Br
2 1
Direct
0.2500 0.2500 0.2500
0.7500 0.7500 0.7500
0.0000 0.0000 0.0000
```



First-principles (PBE) data for a relaxed structure of B2P2Pt, as listed in OQMD.

Computed properties:
Uncorrected energy   -5.960 eV/atom
Crystal system   hexagonal
ρ   7.49 g/cm³

POSCAR file:
```
B2P2Pt
1.0
3.1416 0.0000 0.0000
-1.5708 2.7207 0.0000
0.0000 0.0000 14.4594
B P Pt
4 4 2
Direct
0.3333 0.6667 0.1237
0.3333 0.6667 0.3763
0.6667 0.3333 0.6237
0.6667 0.3333 0.8763
0.3333 0.6667 0.6684
0.3333 0.6667 0.8316
0.6667 0.3333 0.1684
0.6667 0.3333 0.3316
0.0000 0.0000 0.0000
0.0000 0.0000 0.5000
```



First-principles (PBE) data for a relaxed structure of SmBiSb, as listed in OQMD.

Computed properties:
Energy above the lowest structure with this stoichiometry   0 meV/atom
Crystal system   cubic
ρ   7.64 g/cm³

POSCAR file:
```
SmBiSb
1.0
0.0000 3.7393 3.7393
3.7393 0.0000 3.7393
3.7393 3.7393 0.0000
Sm Bi Sb
1 1 1
Direct
0.0000 0.0000 0.0000
0.7500 0.7500 0.7500
0.2500 0.2500 0.2500
```



First-principles (PBE) data for a relaxed structure of NbGa, as listed in OQMD.

Computed properties:
Uncorrected energy   -6.542 eV/atom
Crystal system   cubic
ρ   7.45 g/cm³

POSCAR file:
```
NbGa
1.0
0.0000 2.6270 2.6270
2.6270 0.0000 2.6270
2.6270 2.6270 0.0000
Nb Ga
1 1
Direct
0.0000 0.0000 0.0000
0.5000 0.5000 0.5000
```



First-principles (PBE) data for a relaxed structure of Hf2SbP, as listed in OQMD.

Computed properties:
Energy above the lowest structure with this stoichiometry   0 meV/atom
Crystal system   hexagonal
ρ   10.24 g/cm³

POSCAR file:
```
Hf2SbP
1.0
3.8070 0.0000 0.0000
-1.9035 3.2969 0.0000
0.0000 0.0000 13.1646
Hf Sb P
4 2 2
Direct
0.3333 0.6667 0.1019
0.3333 0.6667 0.3981
0.6667 0.3333 0.6019
0.6667 0.3333 0.8981
0.3333 0.6667 0.7500
0.6667 0.3333 0.2500
0.0000 0.0000 0.0000
0.0000 0.0000 0.5000
```



First-principles (PBE) data for a relaxed structure of CsLaCuTe3, as listed in OQMD.

Computed properties:
Uncorrected energy   -4.125 eV/atom
Crystal system   monoclinic
ρ   4.99 g/cm³

POSCAR file:
```
CsLaCuTe3
1.0
10.4423 0.0000 0.0000
0.0000 4.5120 0.0000
-3.6352 0.0000 10.1362
Cs La Cu Te
2 2 2 6
Direct
0.2133 0.2500 0.2529
0.7867 0.7500 0.7471
0.3200 0.7500 0.8605
0.6800 0.2500 0.1395
0.0901 0.2500 0.6211
0.9099 0.7500 0.3789
0.1056 0.2500 0.8670
0.1658 0.7500 0.5402
0.4756 0.7500 0.1751
0.5244 0.2500 0.8249
0.8342 0.2500 0.4598
0.8944 0.7500 0.1330
```